Compound: Ti5MnPt2Rh2
Source: the Alexandria database
Functional: PBE-GGA
Structure: relaxed

```
data_Ti5MnPt2Rh2
_cell_length_a 10.499
_cell_length_b 10.499
_cell_length_c 2.906
_cell_angle_alpha 90.00
_cell_angle_beta 90.00
_cell_angle_gamma 90.00
_space_group_name_H-M_alt 'P 4/m b m'
_space_group_IT_number 127
_space_group_name_Hall '-P 4 2ab'
loop_
_atom_site_label
_atom_site_type_symbol
_atom_site_fract_x
_atom_site_fract_y
_atom_site_fract_z
Ti1 Ti 0.000 0.500 0.000
Ti2 Ti 0.129 0.149 0.000
Mn1 Mn 0.000 0.000 0.500
Pt1 Pt 0.153 0.653 0.500
Rh1 Rh 0.145 0.355 0.500
```

Summary:
total DFT energy (no corrections) = -8.011 eV per atom
energy of formation from the pure elements = -0.468 eV/atom

Compound: MnTlPtRh
Source: the Alexandria database
Functional: PBE-GGA
Structure: relaxed

```
data_MnTlPtRh
_cell_length_a 6.434
_cell_length_b 6.434
_cell_length_c 6.434
_cell_angle_alpha 90.00
_cell_angle_beta 90.00
_cell_angle_gamma 90.00
_space_group_name_H-M_alt 'F -4 3 m'
_space_group_IT_number 216
_space_group_name_Hall 'F -4 2 3'
loop_
_atom_site_label
_atom_site_type_symbol
_atom_site_fract_x
_atom_site_fract_y
_atom_site_fract_z
Mn1 Mn 0.000 0.000 0.000
Tl1 Tl 0.000 0.000 0.500
Pt1 Pt 0.250 0.250 0.750
Rh1 Rh 0.250 0.250 0.250
```

Summary:
total DFT energy (no corrections) = -6.303 eV per atom
energy of formation from the pure elements = -0.071 eV/atom

Compound: TmMnPtRh
Source: the Alexandria database
Functional: PBE-GGA
Structure: relaxed

```
data_TmMnPtRh
_cell_length_a 6.515
_cell_length_b 6.515
_cell_length_c 6.515
_cell_angle_alpha 90.00
_cell_angle_beta 90.00
_cell_angle_gamma 90.00
_space_group_name_H-M_alt 'F -4 3 m'
_space_group_IT_number 216
_space_group_name_Hall 'F -4 2 3'
loop_
_atom_site_label
_atom_site_type_symbol
_atom_site_fract_x
_atom_site_fract_y
_atom_site_fract_z
Tm1 Tm 0.000 0.000 0.000
Mn1 Mn 0.000 0.000 0.500
Pt1 Pt 0.250 0.250 0.750
Rh1 Rh 0.250 0.250 0.250
```

Summary:
total DFT energy (no corrections) = -7.433 eV per atom
energy of formation from the pure elements = -0.674 eV/atom

Compound: YMnPtRh
Source: the Alexandria database
Functional: PBE-GGA
Structure: relaxed

```
data_YMnPtRh
_cell_length_a 6.584
_cell_length_b 6.584
_cell_length_c 6.584
_cell_angle_alpha 90.00
_cell_angle_beta 90.00
_cell_angle_gamma 90.00
_space_group_name_H-M_alt 'F -4 3 m'
_space_group_IT_number 216
_space_group_name_Hall 'F -4 2 3'
loop_
_atom_site_label
_atom_site_type_symbol
_atom_site_fract_x
_atom_site_fract_y
_atom_site_fract_z
Y1 Y 0.000 0.000 0.000
Mn1 Mn 0.000 0.000 0.500
Pt1 Pt 0.250 0.250 0.750
Rh1 Rh 0.250 0.250 0.250
```

Summary:
total DFT energy (no corrections) = -7.839 eV per atom
energy of formation from the pure elements = -0.583 eV/atom

Compound: MnZnPtRh
Source: the Alexandria database
Functional: PBE-GGA
Structure: relaxed

```
data_MnZnPtRh
_cell_length_a 6.113
_cell_length_b 6.113
_cell_length_c 6.113
_cell_angle_alpha 90.00
_cell_angle_beta 90.00
_cell_angle_gamma 90.00
_space_group_name_H-M_alt 'F -4 3 m'
_space_group_IT_number 216
_space_group_name_Hall 'F -4 2 3'
loop_
_atom_site_label
_atom_site_type_symbol
_atom_site_fract_x
_atom_site_fract_y
_atom_site_fract_z
Mn1 Mn 0.000 0.000 0.000
Zn1 Zn 0.000 0.000 0.500
Pt1 Pt 0.250 0.250 0.250
Rh1 Rh 0.250 0.250 0.750
```

Summary:
total DFT energy (no corrections) = -6.376 eV per atom
energy of formation from the pure elements = -0.417 eV/atom

Compound: ZrMnPtRh
Source: the Alexandria database
Functional: PBE-GGA
Structure: relaxed

```
data_ZrMnPtRh
_cell_length_a 6.435
_cell_length_b 6.435
_cell_length_c 6.435
_cell_angle_alpha 90.00
_cell_angle_beta 90.00
_cell_angle_gamma 90.00
_space_group_name_H-M_alt 'F -4 3 m'
_space_group_IT_number 216
_space_group_name_Hall 'F -4 2 3'
loop_
_atom_site_label
_atom_site_type_symbol
_atom_site_fract_x
_atom_site_fract_y
_atom_site_fract_z
Zr1 Zr 0.000 0.000 0.000
Mn1 Mn 0.000 0.000 0.500
Pt1 Pt 0.250 0.250 0.250
Rh1 Rh 0.250 0.250 0.750
```

Summary:
total DFT energy (no corrections) = -8.395 eV per atom
energy of formation from the pure elements = -0.618 eV/atom

Compound: MnRuPt2
Source: the Alexandria database
Functional: PBE-GGA
Structure: relaxed

```
data_MnRuPt2
_cell_length_a 9.083
_cell_length_b 2.801
_cell_length_c 4.722
_cell_angle_alpha 90.00
_cell_angle_beta 100.53
_cell_angle_gamma 90.00
_space_group_name_H-M_alt 'C 1 2/m 1'
_space_group_IT_number 12
_space_group_name_Hall '-C 2y'
loop_
_atom_site_label
_atom_site_type_symbol
_atom_site_fract_x
_atom_site_fract_y
_atom_site_fract_z
Mn1 Mn 0.000 0.000 0.000
Ru1 Ru 0.000 0.500 0.500
Pt1 Pt 0.250 0.000 0.748
```

Summary:
total DFT energy (no corrections) = -7.698 eV per atom
energy of formation from the pure elements = -0.067 eV/atom

Compound: MnRuPt2
Source: the Alexandria database
Functional: PBE-GGA
Structure: relaxed

```
data_MnRuPt2
_cell_length_a 2.749
_cell_length_b 2.749
_cell_length_c 7.690
_cell_angle_alpha 90.00
_cell_angle_beta 90.00
_cell_angle_gamma 90.00
_space_group_name_H-M_alt 'P 4 m m'
_space_group_IT_number 99
_space_group_name_Hall 'P 4 -2'
loop_
_atom_site_label
_atom_site_type_symbol
_atom_site_fract_x
_atom_site_fract_y
_atom_site_fract_z
Mn1 Mn 0.000 0.000 0.000
Ru1 Ru 0.500 0.500 0.779
Pt1 Pt 0.000 0.000 0.520
Pt2 Pt 0.500 0.500 0.243
```

Summary:
total DFT energy (no corrections) = -7.726 eV per atom
energy of formation from the pure elements = -0.095 eV/atom

Question: What is the energy of formation from the pure elements in the fourth record?
Answer: -0.583 eV/atom